BeAsOs2 PBE optimized geometry; E = -7.5725 eV per atom; magnetic moment = 0.000 μB per formula unit; formation energy from the elements = 0.1363 eV per atom
1.0
2.688 -2.824 1.467
-0.542 -1.614 3.802
-1.179 -3.972 0.428
Be As Os
1 1 2
Cartesian
0.000 0.000 0.000
0.483 -4.205 2.848
0.242 -2.102 1.424
0.725 -6.307 4.272